1.
Ti2MnRh3: optimized geometry, GGA-PBE.

Spin magnetization ... 4.60 μB/f.u.
Distance to the lowest polymorph of the same formula ... 20 meV per atom

Cell and atoms, written as extended XYZ:
```
6
Lattice="3.1444 0.0000 0.0000 0.0000 3.1444 0.0000 0.0000 0.0000 8.9734" Properties=species:S:1:pos:R:3 pbc="T T T"
Ti 1.5722 1.5722 7.4137
Ti 1.5722 1.5722 1.5597
Mn 1.5722 1.5722 4.4867
Rh 0.0000 0.0000 0.0000
Rh 0.0000 0.0000 6.0269
Rh 0.0000 0.0000 2.9466
```


2.
Ti4Mn3Rh: optimized geometry, GGA-PBE.

Spin magnetization ... 1.15 μB/f.u.

Cell and atoms, written as extended XYZ:
```
8
Lattice="-2.1630 -1.1370 -1.7506 -2.3363 -0.9385 3.4961 -3.6562 7.5833 -0.4077" Properties=species:S:1:pos:R:3 pbc="T T T"
Mn -1.9989 1.3343 -0.9776
Mn -4.0778 2.7539 0.6688
Mn -3.8203 5.1119 -1.1808
Rh -2.2496 -1.0377 0.8727
Ti -1.8281 3.7916 -0.2039
Ti -3.8670 5.1284 1.4471
Ti 0.0000 0.0000 0.0000
Ti -2.1255 1.5164 1.6413
```


3.
Ti2MnRh5: optimized geometry, GGA-PBE.

Spin magnetization ... 3.51 μB/f.u.

Cell and atoms, written as extended XYZ:
```
16
Lattice="3.9638 0.0000 0.0000 0.0000 5.4024 0.0000 0.0000 0.0000 10.6848" Properties=species:S:1:pos:R:3 pbc="T T T"
Ti 1.9819 1.6531 3.8713
Ti 1.9819 3.7493 6.8135
Ti 1.9819 1.0481 9.2137
Ti 1.9819 4.3543 1.4711
Mn 0.0000 0.0000 5.3424
Mn 0.0000 2.7012 0.0000
Rh 1.9819 1.5873 1.2164
Rh 1.9819 3.8151 9.4684
Rh 1.9819 4.2885 4.1260
Rh 1.9819 1.1139 6.5588
Rh 0.0000 5.1062 7.9555
Rh 0.0000 0.2962 2.7294
Rh 0.0000 2.4050 8.0718
Rh 0.0000 2.9974 2.6130
Rh 0.0000 2.7012 5.3424
Rh 0.0000 0.0000 0.0000
```


4.
Ti2Mn2Rh: optimized geometry, GGA-PBE.

Spin magnetization ... 0.00 μB/f.u.
Distance to the lowest polymorph of the same formula ... 0 meV per atom

Cell and atoms, written as extended XYZ:
```
10
Lattice="6.7461 0.0000 0.0000 0.0000 6.7461 0.0000 0.0000 0.0000 3.0379" Properties=species:S:1:pos:R:3 pbc="T T T"
Mn 2.6589 6.0320 0.0000
Mn 6.0320 4.0872 0.0000
Mn 4.0872 0.7141 0.0000
Mn 0.7141 2.6589 0.0000
Rh 0.0000 0.0000 0.0000
Rh 3.3731 3.3731 0.0000
Ti 1.3109 4.6840 1.5189
Ti 4.6840 5.4352 1.5189
Ti 5.4352 2.0621 1.5189
Ti 2.0621 1.3109 1.5189
```


5.
Ti5Mn4Rh: optimized geometry, GGA-PBE.

Spin magnetization ... 2.05 μB/f.u.

Cell and atoms, written as extended XYZ:
```
10
Lattice="-0.5560 -0.0172 -2.9483 -2.1103 -2.0928 0.4102 -10.3710 10.8287 1.8926" Properties=species:S:1:pos:R:3 pbc="T T T"
Ti -2.4675 0.1293 -1.0621
Ti -4.4611 2.2110 -0.6982
Ti -6.5187 4.3593 -0.3228
Ti -8.5762 6.5076 0.0527
Ti -10.5699 8.5893 0.4165
Mn -2.1012 2.1939 0.3834
Mn -4.1683 4.3522 0.7607
Mn -6.2027 6.4764 1.1319
Mn -8.2698 8.6347 1.5091
Rh 0.0000 0.0000 0.0000
```


6.
Ti2Mn2Rh: optimized geometry, GGA-PBE.

Spin magnetization ... 3.53 μB/f.u.
Distance to the lowest polymorph of the same formula ... 572 meV per atom

Cell and atoms, written as extended XYZ:
```
5
Lattice="-2.2552 2.9367 0.5410 -2.2249 -2.1047 2.1501 0.6242 1.8170 5.6808" Properties=species:S:1:pos:R:3 pbc="T T T"
Mn -1.6889 0.6856 2.1798
Mn -2.1671 1.9634 6.1921
Rh 0.0000 0.0000 0.0000
Ti -1.9356 2.5848 3.7836
Ti -1.9204 0.0642 4.5882
```


7.
Ti5MnRh4: optimized geometry, GGA-PBE.

Spin magnetization ... 0.00 μB/f.u.

Cell and atoms, written as extended XYZ:
```
10
Lattice="3.0987 0.0000 0.0000 0.0000 3.0987 0.0000 0.0000 0.0000 15.2248" Properties=species:S:1:pos:R:3 pbc="T T T"
Ti 1.5494 1.5494 1.4063
Ti 1.5494 1.5494 4.5251
Ti 1.5494 1.5494 7.6124
Ti 1.5494 1.5494 10.6997
Ti 1.5494 1.5494 13.8185
Mn 0.0000 0.0000 0.0000
Rh 0.0000 0.0000 3.0161
Rh 0.0000 0.0000 6.0611
Rh 0.0000 0.0000 9.1637
Rh 0.0000 0.0000 12.2087
```


8.
TiMn2Rh2: optimized geometry, GGA-PBE.

Spin magnetization ... 0.00 μB/f.u.
Distance to the lowest polymorph of the same formula ... 97 meV per atom

Cell and atoms, written as extended XYZ:
```
10
Lattice="-1.3412 -7.0326 0.6349 6.3421 -0.9156 3.2557 -1.1437 0.4302 2.3489" Properties=species:S:1:pos:R:3 pbc="T T T"
Mn 3.4536 -1.6006 3.4669
Mn 3.7870 -5.2619 4.2998
Mn 0.4036 -5.9175 2.7725
Mn 0.0702 -2.2562 1.9396
Rh 5.0306 -3.4134 3.0745
Rh 2.8145 -6.7065 2.5986
Rh -0.0297 -4.5349 0.8160
Rh 2.1864 -1.2417 1.2920
Ti 0.0000 0.0000 0.0000
Ti 2.5004 -3.9741 1.9453
```


9.
Ti3MnRh4: optimized geometry, GGA-PBE.

Spin magnetization ... 4.46 μB/f.u.

Cell and atoms, written as extended XYZ:
```
16
Lattice="4.2653 0.0000 0.0000 0.0000 6.4916 0.0000 0.0000 0.0000 8.5351" Properties=species:S:1:pos:R:3 pbc="T T T"
Mn 0.0000 3.2458 0.0000
Mn 0.0000 3.2458 4.2675
Rh 2.1327 4.8932 0.0000
Rh 2.1327 4.8932 4.2675
Rh 2.1327 1.5984 0.0000
Rh 2.1327 1.5984 4.2675
Rh 0.0000 4.8935 6.4013
Rh 4.2653 4.8935 2.1338
Rh 4.2653 1.5981 2.1338
Rh 0.0000 1.5981 6.4013
Ti 0.0000 0.0000 0.0000
Ti 0.0000 0.0000 4.2675
Ti 2.1326 0.0000 6.4013
Ti 2.1327 0.0000 2.1338
Ti 2.1327 3.2458 6.4013
Ti 2.1326 3.2458 2.1338
```


10.
Ti3Mn2Rh: optimized geometry, GGA-PBE.

Spin magnetization ... 0.33 μB/f.u.

Cell and atoms, written as extended XYZ:
```
6
Lattice="3.0069 0.0000 0.0000 0.0000 3.0069 0.0000 0.0000 0.0000 9.1014" Properties=species:S:1:pos:R:3 pbc="T T T"
Ti 0.0000 0.0000 0.0000
Ti 0.0000 0.0000 6.1998
Ti 0.0000 0.0000 2.9016
Mn 1.5035 1.5035 7.5933
Mn 1.5035 1.5035 1.5082
Rh 1.5035 1.5035 4.5507
```


11.
Ti3MnRh: optimized geometry, GGA-PBE.

Spin magnetization ... 0.00 μB/f.u.
Distance to the lowest polymorph of the same formula ... 661 meV per atom

Cell and atoms, written as extended XYZ:
```
5
Lattice="-3.7806 1.5076 -1.6581 -2.1377 -1.4502 3.5556 0.6726 3.8652 1.9808" Properties=species:S:1:pos:R:3 pbc="T T T"
Mn 0.0000 0.0000 0.0000
Rh -2.6229 1.9613 1.9392
Ti -1.0689 -0.7251 1.7778
Ti 0.3363 1.9326 0.9904
Ti -1.8903 0.7538 -0.8290
```


12.
TiMn4Rh: optimized geometry, GGA-PBE.

Spin magnetization ... 0.00 μB/f.u.

Cell and atoms, written as extended XYZ:
```
6
Lattice="4.7003 0.0000 0.0000 2.3501 4.0705 0.0000 2.3501 1.3568 3.8377" Properties=species:S:1:pos:R:3 pbc="T T T"
Mn 4.7003 2.7137 0.4868
Mn 4.7003 1.3635 2.3962
Mn 5.8696 3.3888 2.3962
Mn 3.5310 3.3888 2.3962
Rh 0.0000 0.0000 0.0000
Ti 2.3501 1.3568 0.9594
```


Number 1: formation energy from the elements -3.75 eV per formula unit. Number 2: formation energy from the elements -3.39 eV per formula unit. Number 3: formation energy from the elements -4.86 eV per formula unit. Number 4: formation energy from the elements -0.77 eV per formula unit. Number 5: formation energy from the elements -3.96 eV per formula unit. Number 6: formation energy from the elements 2.09 eV per formula unit. Number 7: formation energy from the elements -6.80 eV per formula unit. Number 8: formation energy from the elements -0.03 eV per formula unit. Number 9: formation energy from the elements -5.25 eV per formula unit. Number 10: formation energy from the elements -2.99 eV per formula unit. Number 11: formation energy from the elements 1.54 eV per formula unit. Number 12: formation energy from the elements -0.77 eV per formula unit.